(1)
YOsW2 after structural relaxation. Source: Alexandria via LeMat-Bulk, functional PBE-GGA.

Calculated values
Formation enthalpy at 0 K = 635 meV/atom
VASP energy = -10.27 eV per atom
Calculated volume = 18.172 A^3/atom

a = 2.9002 Å, b = 4.3603 Å, c = 5.7480 Å
α = 90.00°, β = 90.00°, γ = 90.00°
With the nearest neighbours (Å) after each atom.
Atoms (fractional coordinates):
Y  0.0000  0.0000  0.0000  2 Os 2.87, 2 Y 2.90, 8 W 3.09
Os  0.0000  0.0000  0.5000  2 Y 2.87, 8 W 2.90, 2 Os 2.90
W  0.5000  0.5000  0.2841  1 W 2.48
W  0.5000  0.5000  0.7159  1 W 2.48



(2)
YOsW after structural relaxation. Source: Alexandria via LeMat-Bulk, functional PBE-GGA.

Calculated values
Formation enthalpy at 0 K = 537 meV/atom
VASP energy = -9.68 eV per atom
Calculated volume = 18.675 A^3/atom

a = 3.0166 Å, b = 3.0166 Å, c = 7.1089 Å
α = 90.00°, β = 90.00°, γ = 120.00°
With the nearest neighbours (Å) after each atom.
Atoms (fractional coordinates):
Y  0.0000  0.0000  0.0000  6 Y 3.02, 3 Os 3.07, 3 W 3.13
Os  0.6667  0.3333  0.3551  3 W 2.64
W  0.3333  0.6667  0.6344  3 Os 2.64



(3)
YOsW after structural relaxation. Source: Alexandria via LeMat-Bulk, functional PBE-GGA.

Calculated values
Formation enthalpy at 0 K = -171 meV/atom
VASP energy = -10.39 eV per atom
Calculated volume = 19.073 A^3/atom

a = 5.3878 Å, b = 5.7055 Å, c = 7.4455 Å
α = 90.00°, β = 90.00°, γ = 90.00°
With the nearest neighbours (Å) after each atom.
Atoms (fractional coordinates):
Y  0.0000  0.2500  0.1301  6 Os 3.10-3.20, 6 W 3.13-3.28, 4 Y 3.23-3.45
Y  0.0000  0.7500  0.8699  6 Os 3.10-3.20, 6 W 3.13-3.28, 4 Y 3.23-3.45
Y  0.5000  0.2500  0.3699  6 Os 3.10-3.20, 6 W 3.13-3.28, 4 Y 3.23-3.45
Y  0.5000  0.7500  0.6301  6 Os 3.10-3.20, 6 W 3.13-3.28, 4 Y 3.23-3.45
Os  0.0000  0.0000  0.5000  4 W 2.70, 2 Os 2.85
Os  0.0000  0.5000  0.5000  4 W 2.70, 2 Os 2.85
Os  0.5000  0.0000  0.0000  4 W 2.70, 2 Os 2.85
Os  0.5000  0.5000  0.0000  4 W 2.70, 2 Os 2.85
W  0.2500  0.2500  0.7500  2 W 2.69, 4 Os 2.70
W  0.2500  0.7500  0.2500  2 W 2.69, 4 Os 2.70
W  0.7500  0.2500  0.7500  2 W 2.69, 4 Os 2.70
W  0.7500  0.7500  0.2500  2 W 2.69, 4 Os 2.70



(4)
Zn2OsW after structural relaxation. Source: Alexandria via LeMat-Bulk, functional PBE-GGA.

Calculated values
Formation enthalpy at 0 K = 251 meV/atom
VASP energy = -6.43 eV per atom
Calculated volume = 14.853 A^3/atom

a = 9.2657 Å, b = 2.9757 Å, c = 4.4671 Å
α = 90.00°, β = 105.26°, γ = 90.00°
With the nearest neighbours (Å) after each atom.
Atoms (fractional coordinates):
Zn  0.2458  0.0000  0.2431  4 Zn 2.65-2.72, 3 Os 2.70-2.84, 3 W 2.77-2.81
Zn  0.2542  0.5000  0.7569  4 Zn 2.65-2.72, 3 Os 2.70-2.84, 3 W 2.77-2.81
Zn  0.7458  0.5000  0.2431  4 Zn 2.65-2.72, 3 Os 2.70-2.84, 3 W 2.77-2.81
Zn  0.7542  0.0000  0.7569  4 Zn 2.65-2.72, 3 Os 2.70-2.84, 3 W 2.77-2.81
Os  0.0000  0.5000  0.0000  4 W 2.68, 6 Zn 2.70-2.84, 2 Os 2.98
Os  0.5000  0.0000  0.0000  4 W 2.68, 6 Zn 2.70-2.84, 2 Os 2.98
W  0.0000  0.0000  0.5000  4 Os 2.68, 6 Zn 2.77-2.81, 2 W 2.98
W  0.5000  0.5000  0.5000  4 Os 2.68, 6 Zn 2.77-2.81, 2 W 2.98



(5)
Zn2OsW after structural relaxation. Source: Alexandria via LeMat-Bulk, functional PBE-GGA.

Calculated values
Formation enthalpy at 0 K = 420 meV/atom
VASP energy = -6.26 eV per atom
Calculated volume = 14.869 A^3/atom

a = 5.1832 Å, b = 8.3830 Å, c = 2.7377 Å
α = 90.00°, β = 90.00°, γ = 90.00°
With the nearest neighbours (Å) after each atom.
Atoms (fractional coordinates):
Zn  0.2500  0.2500  0.0000  4 Zn 2.59-2.74, 4 W 2.82, 4 Os 2.82
Zn  0.2500  0.7500  0.0000  4 Zn 2.59-2.74, 4 W 2.82, 4 Os 2.82
Zn  0.7500  0.2500  0.0000  4 Zn 2.59-2.74, 4 W 2.82, 4 Os 2.82
Zn  0.7500  0.7500  0.0000  4 Zn 2.59-2.74, 4 W 2.82, 4 Os 2.82
Os  0.0000  0.0000  0.5000  2 W 2.59, 2 Os 2.74, 8 Zn 2.82
Os  0.5000  0.5000  0.5000  2 W 2.59, 2 Os 2.74, 8 Zn 2.82
W  0.0000  0.5000  0.5000  2 Os 2.59, 2 W 2.74, 8 Zn 2.82
W  0.5000  0.0000  0.5000  2 Os 2.59, 2 W 2.74, 8 Zn 2.82



(6)
ZnOsW after structural relaxation. Source: Alexandria via LeMat-Bulk, functional PBE-GGA.

Calculated values
Formation enthalpy at 0 K = 63 meV/atom
VASP energy = -8.42 eV per atom
Calculated volume = 14.948 A^3/atom

a = 3.1384 Å, b = 3.1384 Å, c = 9.1058 Å
α = 90.00°, β = 90.00°, γ = 90.00°
With the nearest neighbours (Å) after each atom.
Atoms (fractional coordinates):
Zn  0.2500  0.2500  0.0730  4 Zn 2.59, 4 Os 2.74
Zn  0.7500  0.7500  0.9270  4 Zn 2.59, 4 Os 2.74
Os  0.2500  0.2500  0.7513  4 W 2.64, 5 Zn 2.74-2.93
Os  0.7500  0.7500  0.2487  4 W 2.64, 5 Zn 2.74-2.93
W  0.2500  0.2500  0.4060  4 Os 2.64, 4 W 2.80
W  0.7500  0.7500  0.5940  4 Os 2.64, 4 W 2.80